(1)
## Nd3Mg4Cd2 (PBE)

Data for a geometry-optimized Nd3Mg4Cd2 structure.

## Properties
Calculated volume in Å³/atom: 26.98
Density of states at the Fermi level in states/eV per cell: 6.80
Excess energy over the best structure of this formula in the dataset in meV/atom: 68.0
ΔE_f in meV per atom: -133

Cell: 5.468 5.468 9.596 Å, 96.35 96.35 58.58°
Fractional positions:
Nd1 0.000 0.000 0.000
Nd2 0.369 0.369 0.258
Nd3 0.631 0.631 0.742
Mg1 0.052 0.052 0.359
Mg2 0.321 0.321 0.904
Mg3 0.679 0.679 0.096
Mg4 0.948 0.948 0.641
Cd1 0.284 0.284 0.599
Cd2 0.716 0.716 0.401


(2)
## ErClF2 (PBE)

Data for a geometry-optimized ErClF2 structure.

## Properties
Energy relative to the elements, uncorrected in meV/atom: -3283
Calculated volume in Å³/atom: 15.87
Density of states at the Fermi level in states/eV per cell: 0.00
Excess energy over the best structure of this formula in the dataset in meV/atom: 208.6

Cell: 3.842 3.842 14.902 Å, 90.00 90.00 120.00°
Fractional positions:
Er1 0.000 0.000 0.000
Er2 0.333 0.667 0.667
Er3 0.667 0.333 0.333
Cl1 0.000 0.000 0.500
Cl2 0.333 0.667 0.167
Cl3 0.667 0.333 0.833
F1 0.000 0.000 0.299
F2 0.000 0.000 0.701
F3 0.333 0.667 0.368
F4 0.333 0.667 0.965
F5 0.667 0.333 0.035
F6 0.667 0.333 0.632


(3)
## NaLi2F (PBE)

Data for a geometry-optimized NaLi2F structure.

## Properties
Energy relative to the elements, uncorrected in meV/atom: -1312
Calculated volume in Å³/atom: 17.12
Density of states at the Fermi level in states/eV per cell: 4.10
Excess energy over the best structure of this formula in the dataset in meV/atom: 6.6

Cell: 3.112 3.112 24.500 Å, 90.00 90.00 120.00°
Fractional positions:
Na1 0.000 0.000 0.000
Na2 0.333 0.667 0.667
Na3 0.667 0.333 0.333
Li1 0.000 0.000 0.547
Li2 0.000 0.000 0.786
Li3 0.333 0.667 0.213
Li4 0.333 0.667 0.453
Li5 0.667 0.333 0.120
Li6 0.667 0.333 0.880
F1 0.000 0.000 0.166
F2 0.333 0.667 0.833
F3 0.667 0.333 0.500


(4)
## GaHS2 (PBE)

Data for a geometry-optimized GaHS2 structure.

## Properties
Calculated volume in Å³/atom: 20.36
Density of states at the Fermi level in states/eV per cell: 0.00
Excess energy over the best structure of this formula in the dataset in meV/atom: 0.0

Cell: 6.577 8.194 6.044 Å, 90.00 90.00 90.00°
Fractional positions:
Ga1 0.054 0.112 0.000
Ga2 0.446 0.612 0.500
Ga3 0.554 0.388 0.000
Ga4 0.946 0.888 0.500
H1 0.135 0.688 0.835
H2 0.365 0.188 0.335
H3 0.635 0.812 0.835
H4 0.865 0.312 0.335
S1 0.069 0.124 0.629
S2 0.099 0.641 0.621
S3 0.401 0.141 0.121
S4 0.431 0.624 0.129
S5 0.569 0.376 0.629
S6 0.599 0.859 0.621
S7 0.901 0.359 0.121
S8 0.931 0.876 0.129


(5)
## Tm8InGe3Te4 (PBE)

Data for a geometry-optimized Tm8InGe3Te4 structure.

## Properties
Energy relative to the elements, uncorrected in meV/atom: -1013
Calculated volume in Å³/atom: 27.15
Density of states at the Fermi level in states/eV per cell: 5.29

Cell: 8.592 8.592 8.592 Å, 58.63 58.63 58.63°
Fractional positions:
Tm1 0.232 0.748 0.748
Tm2 0.238 0.238 0.238
Tm3 0.252 0.252 0.768
Tm4 0.252 0.768 0.252
Tm5 0.748 0.232 0.748
Tm6 0.748 0.748 0.232
Tm7 0.762 0.762 0.762
Tm8 0.768 0.252 0.252
In1 0.500 0.500 0.500
Ge1 0.000 0.000 0.500
Ge2 0.000 0.500 0.000
Ge3 0.500 0.000 0.000
Te1 0.000 0.000 0.000
Te2 0.000 0.500 0.500
Te3 0.500 0.000 0.500
Te4 0.500 0.500 0.000


(6)
## PmGdScRu (PBE)

Data for a geometry-optimized PmGdScRu structure.

## Properties
Calculated volume in Å³/atom: 23.62
Density of states at the Fermi level in states/eV per cell: 24.13
ΔE_f in meV per atom: 42

Cell: 7.230 7.230 7.230 Å, 90.00 90.00 90.00°
Fractional positions:
Pm1 0.000 0.000 0.000
Pm2 0.000 0.500 0.500
Pm3 0.500 0.000 0.500
Pm4 0.500 0.500 0.000
Gd1 0.000 0.000 0.500
Gd2 0.000 0.500 0.000
Gd3 0.500 0.000 0.000
Gd4 0.500 0.500 0.500
Sc1 0.250 0.250 0.750
Sc2 0.250 0.750 0.250
Sc3 0.750 0.250 0.250
Sc4 0.750 0.750 0.750
Ru1 0.250 0.250 0.250
Ru2 0.250 0.750 0.750
Ru3 0.750 0.250 0.750
Ru4 0.750 0.750 0.250


(7)
## HfZr2 (PBE)

Data for a geometry-optimized HfZr2 structure.

## Properties
Calculated volume in Å³/atom: 23.45
Density of states at the Fermi level in states/eV per cell: 11.29
ΔE_f in meV per atom: 322

Cell: 5.838 5.838 5.838 Å, 60.00 60.00 60.00°
Fractional positions:
Hf1 0.125 0.125 0.125
Hf2 0.875 0.875 0.875
Zr1 0.000 0.500 0.500
Zr2 0.500 0.000 0.500
Zr3 0.500 0.500 0.000
Zr4 0.500 0.500 0.500


(8)
## Ac2LaY (PBE)

Data for a geometry-optimized Ac2LaY structure.

## Properties
Calculated volume in Å³/atom: 39.55
Density of states at the Fermi level in states/eV per cell: 19.31
Excess energy over the best structure of this formula in the dataset in meV/atom: 15.3
ΔE_f in meV per atom: 40

Cell: 3.849 3.849 36.992 Å, 90.00 90.00 120.00°
Fractional positions:
Ac1 0.000 0.000 0.000
Ac2 0.000 0.000 0.171
Ac3 0.333 0.667 0.667
Ac4 0.333 0.667 0.837
Ac5 0.667 0.333 0.333
Ac6 0.667 0.333 0.504
La1 0.000 0.000 0.417
La2 0.333 0.667 0.084
La3 0.667 0.333 0.751
Y1 0.000 0.000 0.586
Y2 0.333 0.667 0.252
Y3 0.667 0.333 0.919


(9)
## Ac3GaPt3 (PBE)

Data for a geometry-optimized Ac3GaPt3 structure.

## Properties
Calculated volume in Å³/atom: 31.30
Density of states at the Fermi level in states/eV per cell: 6.96
Excess energy over the best structure of this formula in the dataset in meV/atom: 81.3
ΔE_f in meV per atom: -963

Cell: 9.110 9.110 6.097 Å, 90.00 90.00 120.00°
Fractional positions:
Ac1 0.056 0.357 0.250
Ac2 0.300 0.944 0.250
Ac3 0.357 0.300 0.750
Ac4 0.643 0.700 0.250
Ac5 0.700 0.056 0.750
Ac6 0.944 0.643 0.750
Ga1 0.333 0.667 0.750
Ga2 0.667 0.333 0.250
Pt1 0.066 0.379 0.750
Pt2 0.314 0.934 0.750
Pt3 0.379 0.314 0.250
Pt4 0.621 0.686 0.750
Pt5 0.686 0.066 0.250
Pt6 0.934 0.621 0.250


(10)
## CoSN2 (PBE)

Data for a geometry-optimized CoSN2 structure.

## Properties
Energy relative to the elements, uncorrected in meV/atom: 67
Calculated volume in Å³/atom: 15.85
Density of states at the Fermi level in states/eV per cell: 6.44
Excess energy over the best structure of this formula in the dataset in meV/atom: 104.2

Cell: 4.761 3.958 6.727 Å, 90.00 90.00 90.00°
Fractional positions:
Co1 0.000 0.000 0.000
Co2 0.000 0.500 0.500
S1 0.000 0.000 0.664
S2 0.000 0.500 0.164
N1 0.381 0.000 0.001
N2 0.381 0.500 0.501
N3 0.619 0.000 0.001
N4 0.619 0.500 0.501


(11)
## Na3Li2In4 (PBE)

Data for a geometry-optimized Na3Li2In4 structure.

## Properties
Calculated volume in Å³/atom: 25.21
Density of states at the Fermi level in states/eV per cell: 5.79
ΔE_f in meV per atom: -118

Cell: 8.959 8.959 6.500 Å, 90.01 90.01 60.43°
Fractional positions:
Na1 0.000 0.000 0.250
Na2 0.000 0.000 0.750
Na3 0.334 0.334 0.250
Na4 0.334 0.334 0.750
Na5 0.666 0.666 0.250
Na6 0.666 0.666 0.750
Li1 0.003 0.322 0.001
Li2 0.322 0.003 0.501
Li3 0.678 0.997 0.499
Li4 0.997 0.678 0.999
In1 0.005 0.329 0.501
In2 0.328 0.664 0.000
In3 0.329 0.005 0.001
In4 0.336 0.672 0.500
In5 0.664 0.328 0.500
In6 0.671 0.995 0.999
In7 0.672 0.336 0.000
In8 0.995 0.671 0.499


(12)
## Nd6Ni2CBr3 (PBE)

Data for a geometry-optimized Nd6Ni2CBr3 structure.

## Properties
Energy relative to the elements, uncorrected in meV/atom: -781
Calculated volume in Å³/atom: 26.22
Density of states at the Fermi level in states/eV per cell: 6.48

Cell: 6.930 6.930 7.904 Å, 98.34 98.34 119.97°
Fractional positions:
Nd1 0.064 0.376 0.191
Nd2 0.247 0.247 0.807
Nd3 0.376 0.064 0.191
Nd4 0.624 0.936 0.809
Nd5 0.753 0.753 0.193
Nd6 0.936 0.624 0.809
Ni1 0.334 0.666 0.000
Ni2 0.666 0.334 0.000
C1 0.000 0.000 0.000
Br1 0.167 0.833 0.500
Br2 0.500 0.500 0.500
Br3 0.833 0.167 0.500


(13)
## LaCd4Pd (PBE)

Data for a geometry-optimized LaCd4Pd structure.

## Properties
Calculated volume in Å³/atom: 23.62
Density of states at the Fermi level in states/eV per cell: 7.78
ΔE_f in meV per atom: -388

Cell: 8.684 4.398 7.421 Å, 90.00 90.00 90.00°
Fractional positions:
La1 0.250 0.000 0.101
La2 0.750 0.000 0.899
Cd1 0.000 0.000 0.500
Cd2 0.048 0.500 0.805
Cd3 0.250 0.500 0.450
Cd4 0.452 0.500 0.805
Cd5 0.500 0.000 0.500
Cd6 0.548 0.500 0.195
Cd7 0.750 0.500 0.550
Cd8 0.952 0.500 0.195
Pd1 0.250 0.000 0.722
Pd2 0.750 0.000 0.278


(14)
## CsFeTe2N (PBE)

Data for a geometry-optimized CsFeTe2N structure.

## Properties
Energy relative to the elements, uncorrected in meV/atom: 2539
Calculated volume in Å³/atom: 30.22
Density of states at the Fermi level in states/eV per cell: 12.77
Excess energy over the best structure of this formula in the dataset in meV/atom: 2393.2

Cell: 6.086 6.086 4.080 Å, 90.00 90.00 90.00°
Fractional positions:
Cs1 0.000 0.000 0.000
Fe1 0.500 0.500 0.500
Te1 0.000 0.500 0.000
Te2 0.500 0.000 0.000
N1 0.000 0.000 0.500


(15)
## P2HOsS (PBE)

Data for a geometry-optimized P2HOsS structure.

## Properties
Calculated volume in Å³/atom: 12.03
Density of states at the Fermi level in states/eV per cell: 2.36
Excess energy over the best structure of this formula in the dataset in meV/atom: 0.0

Cell: 3.631 3.631 4.565 Å, 90.00 90.00 90.00°
Fractional positions:
P1 0.000 0.500 0.000
P2 0.500 0.000 0.000
H1 0.000 0.000 0.000
Os1 0.500 0.500 0.500
S1 0.000 0.000 0.500


(16)
## Hf8TePb2 (PBE)

Data for a geometry-optimized Hf8TePb2 structure.

## Properties
Energy relative to the elements, uncorrected in meV/atom: -102
Calculated volume in Å³/atom: 23.33
Density of states at the Fermi level in states/eV per cell: 8.56

Cell: 8.728 8.728 7.886 Å, 93.49 93.49 25.35°
Fractional positions:
Hf1 0.035 0.035 0.235
Hf2 0.207 0.207 0.139
Hf3 0.324 0.324 0.565
Hf4 0.414 0.414 0.029
Hf5 0.586 0.586 0.971
Hf6 0.676 0.676 0.435
Hf7 0.793 0.793 0.861
Hf8 0.965 0.965 0.765
Te1 0.500 0.500 0.500
Pb1 0.165 0.165 0.735
Pb2 0.835 0.835 0.265


(17)
## CoTcRu (PBE)

Data for a geometry-optimized CoTcRu structure.

## Properties
Calculated volume in Å³/atom: 15.48
Density of states at the Fermi level in states/eV per cell: 8.92
Excess energy over the best structure of this formula in the dataset in meV/atom: 533.6
ΔE_f in meV per atom: 611

Cell: 5.706 5.706 5.706 Å, 90.00 90.00 90.00°
Fractional positions:
Co1 0.000 0.000 0.000
Co2 0.000 0.500 0.500
Co3 0.500 0.000 0.500
Co4 0.500 0.500 0.000
Tc1 0.250 0.250 0.250
Tc2 0.250 0.750 0.750
Tc3 0.750 0.250 0.750
Tc4 0.750 0.750 0.250
Ru1 0.000 0.000 0.500
Ru2 0.000 0.500 0.000
Ru3 0.500 0.000 0.000
Ru4 0.500 0.500 0.500


(18)
## SrLiRe2 (PBE)

Data for a geometry-optimized SrLiRe2 structure.

## Properties
Calculated volume in Å³/atom: 21.30
Density of states at the Fermi level in states/eV per cell: 6.33
Excess energy over the best structure of this formula in the dataset in meV/atom: 117.6
ΔE_f in meV per atom: 558

Cell: 8.298 3.209 6.462 Å, 90.00 98.04 90.00°
Fractional positions:
Sr1 0.000 0.000 0.000
Sr2 0.500 0.500 0.000
Li1 0.229 0.000 0.666
Li2 0.729 0.500 0.666
Re1 0.272 0.500 0.342
Re2 0.492 0.000 0.464
Re3 0.772 0.000 0.342
Re4 0.992 0.500 0.464


(19)
## Dy3Cd4Cu2 (PBE)

Data for a geometry-optimized Dy3Cd4Cu2 structure.

## Properties
Calculated volume in Å³/atom: 22.44
Density of states at the Fermi level in states/eV per cell: 6.21
ΔE_f in meV per atom: -242

Cell: 6.007 6.007 8.828 Å, 116.32 116.32 46.36°
Fractional positions:
Dy1 0.000 0.000 0.000
Dy2 0.320 0.320 0.358
Dy3 0.680 0.680 0.642
Cd1 0.032 0.032 0.363
Cd2 0.287 0.287 0.943
Cd3 0.713 0.713 0.057
Cd4 0.968 0.968 0.637
Cu1 0.409 0.409 0.739
Cu2 0.591 0.591 0.261


(20)
## PrNd10Ho4 (PBE)

Data for a geometry-optimized PrNd10Ho4 structure.

## Properties
Calculated volume in Å³/atom: 37.47
Density of states at the Fermi level in states/eV per cell: 27.35
ΔE_f in meV per atom: 512

Cell: 9.668 9.668 9.668 Å, 97.29 97.29 138.27°
Fractional positions:
Pr1 0.000 0.000 0.000
Nd1 0.043 0.883 0.416
Nd2 0.117 0.533 0.161
Nd3 0.250 0.750 0.500
Nd4 0.372 0.957 0.839
Nd5 0.467 0.628 0.584
Nd6 0.533 0.372 0.416
Nd7 0.628 0.043 0.161
Nd8 0.750 0.250 0.500
Nd9 0.883 0.467 0.839
Nd10 0.957 0.117 0.584
Ho1 0.324 0.567 0.891
Ho2 0.433 0.324 0.756
Ho3 0.567 0.676 0.244
Ho4 0.676 0.433 0.109


(21)
## TbBe13 (PBE)

Data for a geometry-optimized TbBe13 structure.

## Properties
Calculated volume in Å³/atom: 9.45
Density of states at the Fermi level in states/eV per cell: 6.14
ΔE_f in meV per atom: -196

Cell: 7.207 7.207 7.207 Å, 60.00 60.00 60.00°
Fractional positions:
Tb1 0.250 0.250 0.250
Tb2 0.750 0.750 0.750
Be1 0.000 0.000 0.000
Be2 0.063 0.290 0.710
Be3 0.063 0.710 0.937
Be4 0.063 0.937 0.290
Be5 0.210 0.437 0.790
Be6 0.210 0.563 0.437
Be7 0.210 0.790 0.563
Be8 0.290 0.063 0.937
Be9 0.290 0.710 0.063
Be10 0.290 0.937 0.710
Be11 0.437 0.210 0.563
Be12 0.437 0.563 0.790
Be13 0.437 0.790 0.210
Be14 0.500 0.500 0.500
Be15 0.563 0.210 0.790
Be16 0.563 0.437 0.210
Be17 0.563 0.790 0.437
Be18 0.710 0.063 0.290
Be19 0.710 0.290 0.937
Be20 0.710 0.937 0.063
Be21 0.790 0.210 0.437
Be22 0.790 0.437 0.563
Be23 0.790 0.563 0.210
Be24 0.937 0.063 0.710
Be25 0.937 0.290 0.063
Be26 0.937 0.710 0.290


(22)
## Ce2Dy2AlGa4 (PBE)

Data for a geometry-optimized Ce2Dy2AlGa4 structure.

## Properties
Calculated volume in Å³/atom: 24.28
Density of states at the Fermi level in states/eV per cell: 14.16
ΔE_f in meV per atom: -197

Cell: 6.641 6.641 6.641 Å, 115.68 115.68 97.67°
Fractional positions:
Ce1 0.182 0.182 0.000
Ce2 0.818 0.818 0.000
Dy1 0.250 0.750 0.500
Dy2 0.750 0.250 0.500
Al1 0.500 0.500 0.000
Ga1 0.255 0.255 0.510
Ga2 0.255 0.745 0.000
Ga3 0.745 0.255 0.000
Ga4 0.745 0.745 0.490